(1)
Density functional theory data (PBE) for a relaxed Hf4GaMo crystal.

a b c (Å): 3.288 6.963 5.286
angles (deg): 87.60 90.00 90.00
Fractional positions:
Hf  0.500  0.322  0.830
Hf  0.500  0.678  0.170
Hf  0.000  0.688  0.667
Hf  0.000  0.312  0.333
Ga  0.500  0.000  0.500
Mo  0.000  0.000  0.000

Output
**Formation enthalpy at 0 K**: 0.123 eV/f.u.
**Total moment**: 0.000 μB/atom
**N(E_F)**: 1.008 states/eV/atom
**Raw total energy**: -0.328 hartree per atom

***

(2)
Density functional theory data (PBE) for a relaxed Hf2GaMo crystal.

a b c (Å): 3.420 3.420 6.339
angles (deg): 90.00 90.00 90.00
Fractional positions:
Hf  0.000  0.000  0.242
Hf  0.000  0.000  0.758
Mo  0.500  0.500  0.000
Ga  0.500  0.500  0.500

Output
**Formation enthalpy at 0 K**: -1.406 eV/f.u.
**Total moment**: 0.000 μB/atom
**N(E_F)**: 0.562 states/eV/atom
**Raw total energy**: -0.323 hartree per atom

***

(3)
Density functional theory data (PBE) for a relaxed Hf2Ga6Mo crystal.

a b c (Å): 6.312 5.373 5.373
angles (deg): 62.04 85.90 85.90
Fractional positions:
Ga  0.345  0.817  0.817
Ga  0.684  0.670  0.188
Ga  0.655  0.183  0.183
Ga  0.316  0.812  0.330
Ga  0.316  0.330  0.812
Ga  0.684  0.188  0.670
Mo  0.000  0.000  0.000
Hf  0.932  0.678  0.678
Hf  0.068  0.322  0.322

Output
**Formation enthalpy at 0 K**: -1.615 eV/f.u.
**Total moment**: 0.000 μB/atom
**N(E_F)**: 0.411 states/eV/atom
**Raw total energy**: -0.206 hartree per atom

***

(4)
Density functional theory data (PBE) for a relaxed Hf2GaMo2 crystal.

a b c (Å): 6.719 6.719 4.225
angles (deg): 90.00 90.00 90.00
Fractional positions:
Hf  0.825  0.325  0.500
Hf  0.675  0.825  0.500
Hf  0.325  0.175  0.500
Hf  0.175  0.675  0.500
Ga  0.000  0.000  0.000
Ga  0.500  0.500  0.000
Mo  0.629  0.129  0.000
Mo  0.371  0.871  0.000
Mo  0.129  0.371  0.000
Mo  0.871  0.629  0.000

Output
**Formation enthalpy at 0 K**: 0.076 eV/f.u.
**Total moment**: 0.000 μB/atom
**N(E_F)**: 0.856 states/eV/atom
**Raw total energy**: -0.327 hartree per atom

***

(5)
Density functional theory data (PBE) for a relaxed Hf2Ga4Mo crystal.

a b c (Å): 5.703 5.703 5.610
angles (deg): 119.37 119.37 92.01
Fractional positions:
Mo  0.214  0.786  0.000
Hf  0.714  0.286  0.500
Hf  0.214  0.786  0.500
Ga  0.715  0.786  0.501
Ga  0.714  0.785  0.000
Ga  0.214  0.285  0.499
Ga  0.215  0.286  0.000

Output
**Formation enthalpy at 0 K**: -1.891 eV/f.u.
**Total moment**: 0.000 μB/atom
**N(E_F)**: 0.361 states/eV/atom
**Raw total energy**: -0.235 hartree per atom

***

(6)
Density functional theory data (PBE) for a relaxed HfGa4Mo crystal.

a b c (Å): 5.536 7.938 5.347
angles (deg): 90.00 90.00 90.00
Fractional positions:
Ga  0.732  0.500  0.500
Ga  0.268  0.500  0.500
Ga  0.732  0.500  0.000
Ga  0.732  0.000  0.500
Ga  0.268  0.500  0.000
Ga  0.732  0.000  0.000
Ga  0.268  0.000  0.000
Ga  0.268  0.000  0.500
Mo  0.500  0.250  0.250
Mo  0.500  0.750  0.750
Hf  0.000  0.750  0.250
Hf  0.000  0.250  0.750

Output
**Formation enthalpy at 0 K**: 1.271 eV/f.u.
**Total moment**: 0.130 μB/atom
**N(E_F)**: 0.802 states/eV/atom
**Raw total energy**: -0.194 hartree per atom

***

What is the N(E_F) in the sixth record? 0.802 states/eV/atom